1.
{
  "formula": "NpSc2O8",
  "functional": "PBE",
  "state": "relaxed",
  "cell": [[5.2905, 0.8641, -0.3536], [-0.7648, 5.0725, -1.4779], [0.4173, 0.6105, 5.2883]],
  "species": ["O", "Sc", "O", "Np", "O", "O", "O", "O", "O", "Sc", "O"],
  "fractional_positions": [[0.7804, 0.6034, 0.6032], [0.5573, 0.3492, 0.7426], [0.2805, 0.5360, 0.5361], [0.0855, 0.7976, 0.7976], [0.6080, 0.3219, 0.1605], [0.3694, 0.0066, 0.6523], [0.6084, 0.1604, 0.3220], [0.8917, 0.1019, 0.7624], [0.8916, 0.7619, 0.1016], [0.5572, 0.7425, 0.3490], [0.3695, 0.6525, 0.0066]],
  "formation_energy_uncorrected_ev_per_atom": -2.401,
  "m_tot_mub_per_atom": 0.092
}

2.
{
  "formula": "ZnHg2Mo",
  "functional": "PBE",
  "state": "relaxed",
  "cell": [[5.3099, 0.0027, 0.0000], [2.1422, 4.8586, 0.0000], [-3.7260, -2.4306, 2.8989]],
  "species": ["Hg", "Mo", "Zn", "Hg"],
  "fractional_positions": [[0.5000, 0.5000, 0.0000], [0.2500, 0.7500, 0.5000], [0.7500, 0.2500, 0.5000], [0.0000, 0.0000, 0.0000]],
  "m_tot_mub_per_atom": 0.371,
  "dos_at_fermi_per_ev_atom": 0.76,
  "delta_e_f_mev_per_atom": 576
}

3.
{
  "formula": "La3Sm8Y2",
  "functional": "PBE",
  "state": "relaxed",
  "cell": [[13.1814, -1.3440, 1.0814], [-7.6602, 4.5987, -1.1058], [0.9056, -2.0667, 18.2561]],
  "species": ["Y", "Sm", "Sm", "Sm", "Sm", "Sm", "Sm", "La", "Y", "Sm", "La", "Sm", "La", "La", "La", "Sm", "La", "Sm", "Sm", "Y", "Sm", "Sm", "Sm", "Y", "Sm", "Sm"],
  "fractional_positions": [[0.4437, 0.0203, 0.0837], [0.8788, 0.1885, 0.5397], [0.3783, 0.4515, 0.3856], [0.1323, 0.3577, 0.1694], [0.3380, 0.0504, 0.9156], [0.8865, 0.7336, 0.2396], [0.3724, 0.9249, 0.6993], [0.0000, 0.0000, 0.0000], [0.9972, 0.7328, 0.6501], [0.0256, 0.7162, 0.0653], [0.7600, 0.1216, 0.7326], [0.9744, 0.2838, 0.9347], [0.2400, 0.8784, 0.2674], [0.5000, 0.0000, 0.5000], [0.4845, 0.4707, 0.8124], [0.1212, 0.8115, 0.4603], [0.5155, 0.5293, 0.1876], [0.6276, 0.0751, 0.3007], [0.1135, 0.2664, 0.7604], [0.0028, 0.2672, 0.3499], [0.2492, 0.3672, 0.5764], [0.6217, 0.5485, 0.6144], [0.8677, 0.6423, 0.8306], [0.5563, 0.9797, 0.9163], [0.6620, 0.9496, 0.0844], [0.7508, 0.6328, 0.4236]],
  "m_tot_mub_per_atom": 0.000,
  "dos_at_fermi_per_ev_atom": 1.46,
  "delta_e_f_mev_per_atom": 106,
  "relative_energy_mev_per_atom": 0
}

4.
{
  "formula": "RbCdRu2O8",
  "functional": "PBE",
  "state": "relaxed",
  "cell": [[5.4721, -0.2449, 0.1130], [2.3070, 4.9681, 0.1130], [0.5489, 0.3333, 8.4433]],
  "species": ["O", "Ru", "Rb", "O", "O", "Cd", "O", "Ru", "O", "O", "O", "O"],
  "fractional_positions": [[0.2509, 0.2509, 0.9548], [0.6154, 0.6154, 0.2128], [0.0000, 0.0000, 0.5000], [0.2499, 0.7353, 0.7999], [0.7353, 0.2499, 0.7999], [0.0000, 0.0000, 0.0000], [0.2647, 0.7501, 0.2001], [0.3846, 0.3846, 0.7872], [0.7491, 0.7491, 0.0452], [0.6917, 0.6917, 0.3947], [0.3083, 0.3083, 0.6053], [0.7501, 0.2647, 0.2001]],
  "formation_energy_uncorrected_ev_per_atom": -0.955,
  "m_tot_mub_per_atom": 0.253,
  "dos_at_fermi_per_ev_atom": 0.71
}

5.
{
  "formula": "HoSc2Zn2",
  "functional": "PBE",
  "state": "relaxed",
  "cell": [[4.8029, 0.0000, 0.0000], [-2.4015, 4.1594, 0.0000], [0.0000, 0.0000, 5.7422]],
  "species": ["Sc", "Ho", "Sc", "Zn", "Zn"],
  "fractional_positions": [[0.6667, 0.3333, 0.3535], [0.0000, 0.0000, 0.0000], [0.3333, 0.6667, 0.6465], [0.3333, 0.6667, 0.1560], [0.6667, 0.3333, 0.8440]],
  "m_tot_mub_per_atom": 0.139,
  "dos_at_fermi_per_ev_atom": 1.20,
  "delta_e_f_mev_per_atom": -111,
  "relative_energy_mev_per_atom": 166
}

6.
{
  "formula": "Ho5Cd4In",
  "functional": "PBE",
  "state": "relaxed",
  "cell": [[-2.3103, 1.4764, -2.5325], [1.4177, -2.2595, -2.6106], [-12.8228, -12.8832, 4.1870]],
  "species": ["Ho", "Cd", "Ho", "Cd", "Cd", "In", "Ho", "Cd", "Ho", "Ho"],
  "fractional_positions": [[0.5000, 0.5000, 0.1020], [0.0000, 0.0000, 0.7980], [0.5000, 0.5000, 0.3004], [0.0000, 0.0000, 0.2020], [0.0000, 0.0000, 0.3998], [0.0000, 0.0000, 0.0000], [0.5000, 0.5000, 0.5000], [0.0000, 0.0000, 0.6002], [0.5000, 0.5000, 0.8980], [0.5000, 0.5000, 0.6996]],
  "m_tot_mub_per_atom": 0.000,
  "dos_at_fermi_per_ev_atom": 0.93,
  "delta_e_f_mev_per_atom": -349
}